(1)
{"formula": "Pr2Mo3O12", "functional": "GGA+U", "state": "optimized geometry", "spacegroup": "Pba2", "dft_energy_ev_per_atom": -7.548, "vol_a3_per_atom": 19.0, "lattice_angstrom": [[10.805, 0.000, 0.000], [0.000, 10.828, 0.000], [0.000, 0.000, 11.070]], "species": ["Pr", "Pr", "Pr", "Pr", "Pr", "Pr", "Pr", "Pr", "Mo", "Mo", "Mo", "Mo", "Mo", "Mo", "Mo", "Mo", "Mo", "Mo", "Mo", "Mo", "O", "O", "O", "O", "O", "O", "O", "O", "O", "O", "O", "O", "O", "O", "O", "O", "O", "O", "O", "O", "O", "O", "O", "O", "O", "O", "O", "O", "O", "O", "O", "O", "O", "O", "O", "O", "O", "O", "O", "O", "O", "O", "O", "O", "O", "O", "O", "O"], "frac_coords": [[0.005, 0.191, 0.000], [0.191, 0.504, 0.528], [0.309, 0.004, 0.528], [0.495, 0.691, 0.000], [0.505, 0.309, 0.000], [0.691, 0.996, 0.528], [0.809, 0.496, 0.528], [0.995, 0.809, 0.000], [0.002, 0.791, 0.620], [0.208, 0.509, 0.908], [0.244, 0.756, 0.264], [0.256, 0.256, 0.264], [0.292, 0.009, 0.908], [0.498, 0.291, 0.620], [0.502, 0.709, 0.620], [0.708, 0.991, 0.908], [0.744, 0.744, 0.264], [0.756, 0.244, 0.264], [0.792, 0.491, 0.908], [0.998, 0.209, 0.620], [0.004, 0.371, 0.573], [0.015, 0.199, 0.780], [0.120, 0.125, 0.550], [0.122, 0.383, 0.969], [0.126, 0.823, 0.171], [0.129, 0.996, 0.954], [0.142, 0.186, 0.168], [0.150, 0.849, 0.578], [0.153, 0.654, 0.960], [0.176, 0.641, 0.360], [0.187, 0.372, 0.357], [0.197, 0.507, 0.747], [0.303, 0.007, 0.747], [0.313, 0.872, 0.357], [0.324, 0.141, 0.360], [0.347, 0.154, 0.960], [0.350, 0.349, 0.578], [0.358, 0.686, 0.168], [0.371, 0.496, 0.954], [0.374, 0.323, 0.171], [0.378, 0.883, 0.969], [0.380, 0.625, 0.550], [0.485, 0.699, 0.780], [0.496, 0.871, 0.573], [0.504, 0.129, 0.573], [0.515, 0.301, 0.780], [0.620, 0.375, 0.550], [0.622, 0.117, 0.969], [0.626, 0.677, 0.171], [0.629, 0.504, 0.954], [0.642, 0.314, 0.168], [0.650, 0.651, 0.578], [0.653, 0.846, 0.960], [0.676, 0.859, 0.360], [0.687, 0.128, 0.357], [0.697, 0.993, 0.747], [0.803, 0.493, 0.747], [0.813, 0.628, 0.357], [0.824, 0.359, 0.360], [0.847, 0.346, 0.960], [0.850, 0.151, 0.578], [0.858, 0.814, 0.168], [0.871, 0.004, 0.954], [0.874, 0.177, 0.171], [0.878, 0.617, 0.969], [0.880, 0.875, 0.550], [0.985, 0.801, 0.780], [0.996, 0.629, 0.573]]}


(2)
{"formula": "Pr3MoO6", "functional": "GGA+U", "state": "optimized geometry", "spacegroup": "Cmc2_1", "dft_energy_ev_per_atom": -7.946, "vol_a3_per_atom": 15.9, "lattice_angstrom": [[4.729, -5.770, 0.000], [4.729, 5.770, 0.000], [0.000, 0.000, 5.815]], "species": ["Pr", "Pr", "Pr", "Pr", "Pr", "Pr", "Mo", "Mo", "O", "O", "O", "O", "O", "O", "O", "O", "O", "O", "O", "O"], "frac_coords": [[0.104, 0.896, 0.500], [0.175, 0.412, 0.449], [0.412, 0.175, 0.949], [0.588, 0.825, 0.449], [0.825, 0.588, 0.949], [0.896, 0.104, 0.000], [0.358, 0.642, 0.941], [0.642, 0.358, 0.441], [0.107, 0.602, 0.760], [0.146, 0.171, 0.724], [0.171, 0.146, 0.224], [0.279, 0.721, 0.266], [0.398, 0.893, 0.760], [0.489, 0.511, 0.647], [0.511, 0.489, 0.147], [0.602, 0.107, 0.260], [0.721, 0.279, 0.766], [0.829, 0.854, 0.724], [0.854, 0.829, 0.224], [0.893, 0.398, 0.260]]}